(1)
The following is a PBE-GGA calculation of a relaxed structure of TbThHgSb, from Alexandria via LeMat-Bulk.

## Properties
formation energy without anion corrections: -49.4 kJ/mol of atoms
density: 10.72 g cm⁻³
DOS(E_F): 1.14 states/eV per atom

Cell: 7.617 7.617 7.617 Å, 90.00 90.00 90.00°
Space group F-43m (No. 216)
Inequivalent atoms, fractional coordinates:
Tb 0.000 0.000 0.000
Th 0.000 0.000 0.500
Hg 0.250 0.250 0.250
Sb 0.250 0.250 0.750

(2)
The following is a PBE-GGA calculation of a relaxed structure of NaTbTe2, from Alexandria via LeMat-Bulk.

## Properties
formation energy without anion corrections: -118.9 kJ/mol of atoms
density: 5.62 g cm⁻³

Cell: 4.3161 4.3161 24.0006 Å, 90.00 90.00 120.00°
Space group R3m (No. 160, hexagonal axes)
Inequivalent atoms, fractional coordinates:
Na 0.0000 0.0000 0.0000
Tb 0.0000 0.0000 0.8318
Te 0.0000 0.0000 0.4196
Te 0.0000 0.0000 0.5776

(3)
The following is a PBE-GGA calculation of a relaxed structure of CrCo2Os, from Alexandria via LeMat-Bulk.

## Properties
formation energy: 0.16 eV per atom
energy relative to the lowest polymorph listed for this composition: 148.6 meV/atom
density: 12.68 g cm⁻³
DOS(E_F): 1.40 states/eV per atom

Cell: 2.561 2.561 7.192 Å, 90.00 90.00 90.00°
Space group P4/mmm (No. 123)
Inequivalent atoms, fractional coordinates:
Cr 0.000 0.000 0.000
Co 0.500 0.500 0.244
Os 0.000 0.000 0.500

(4)
The following is a PBE-GGA calculation of a relaxed structure of ScSb2P, from Alexandria via LeMat-Bulk.

## Properties
formation energy without anion corrections: -45.1 kJ/mol of atoms
density: 5.92 g cm⁻³
DOS(E_F): 0.24 states/eV per atom

Cell: 4.350 3.824 5.800 Å, 90.00 111.78 90.00°
Space group Pm (No. 6)
Inequivalent atoms, fractional coordinates:
Sc 0.000 0.000 0.000
Sb 0.416 0.500 0.831
Sb 0.744 0.000 0.423
P 0.268 0.500 0.351

(5)
The following is a PBE-GGA calculation of a relaxed structure of K2AsS2, from Alexandria via LeMat-Bulk.

## Properties
energy relative to the lowest polymorph listed for this composition: 0.0 meV/atom
formation energy without anion corrections: -70.4 kJ/mol of atoms
density: 1.87 g cm⁻³
DOS(E_F): 0.03 states/eV per atom

Cell: 13.447 6.330 9.663 Å, 90.00 110.52 90.00°
Space group C2/m (No. 12)
Inequivalent atoms, fractional coordinates:
K 0.002 0.000 0.267
K 0.171 0.500 0.602
As 0.165 0.500 0.193
S 0.025 0.500 0.265
S 0.186 0.000 0.605

(6)
The following is a PBE-GGA calculation of a relaxed structure of KRu3I, from Alexandria via LeMat-Bulk.

## Properties
energy relative to the lowest polymorph listed for this composition: 1235.9 meV/atom
formation energy without anion corrections: 272.8 kJ/mol of atoms
density: 6.46 g cm⁻³
DOS(E_F): 1.04 states/eV per atom

Cell: 4.941 4.941 4.941 Å, 90.00 90.00 90.00°
Space group Pm-3m (No. 221)
Inequivalent atoms, fractional coordinates:
K 0.000 0.000 0.000
Ru 0.000 0.000 0.500
I 0.500 0.500 0.500

Question: What is the density in the fourth record?
Answer: 5.92 g cm⁻³